No. 1
# PBE La2HoPd, optimized geometry
# E   -0.3844 Ry per atom
# Magnetic moment   0.000 μB per formula unit
# Space-group type   P4/mmm (123)
# ΔE_f   -323.7 meV per atom
# Energy above the most stable polymorph in this dataset   95 meV/atom
data_La2HoPd
_chemical_formula_sum 'La2 Ho1 Pd1'
_cell_length_a 3.787
_cell_length_b 3.787
_cell_length_c 8.261
_cell_angle_alpha 90.00
_cell_angle_beta 90.00
_cell_angle_gamma 90.00
_space_group_name_H-M_alt 'P 1'
_space_group_IT_number 1
_space_group_name_Hall 'P 1'
loop_
_atom_site_label
_atom_site_type_symbol
_atom_site_fract_x
_atom_site_fract_y
_atom_site_fract_z
_atom_site_occupancy
La1 La 0.000 0.000 0.208 1
La2 La 0.000 0.000 0.792 1
Ho1 Ho 0.500 0.500 0.500 1
Pd1 Pd 0.500 0.500 0.000 1

***

No. 2
# PBE VReTcW, optimized geometry
# E   -0.8372 Ry per atom
# Magnetic moment   0.001 μB per formula unit
# Space-group type   F-43m (216)
# ΔE_f   -168.7 meV per atom
data_VReTcW
_chemical_formula_sum 'V1 Re1 Tc1 W1'
_cell_length_a 4.378
_cell_length_b 4.378
_cell_length_c 4.378
_cell_angle_alpha 60.00
_cell_angle_beta 60.00
_cell_angle_gamma 60.00
_space_group_name_H-M_alt 'P 1'
_space_group_IT_number 1
_space_group_name_Hall 'P 1'
loop_
_atom_site_label
_atom_site_type_symbol
_atom_site_fract_x
_atom_site_fract_y
_atom_site_fract_z
_atom_site_occupancy
V1 V 0.000 0.000 0.000 1
Re1 Re 0.250 0.250 0.250 1
Tc1 Tc 0.750 0.750 0.750 1
W1 W 0.500 0.500 0.500 1

***

No. 3
# PBE KMo2As, optimized geometry
# E   -0.4244 Ry per atom
# Magnetic moment   0.000 μB per formula unit
# Space-group type   C2/m (12)
# ΔE_f   1078.2 meV per atom
data_KMo2As
_chemical_formula_sum 'K1 Mo2 As1'
_cell_length_a 6.138
_cell_length_b 6.138
_cell_length_c 2.636
_cell_angle_alpha 100.83
_cell_angle_beta 100.83
_cell_angle_gamma 122.86
_space_group_name_H-M_alt 'P 1'
_space_group_IT_number 1
_space_group_name_Hall 'P 1'
loop_
_atom_site_label
_atom_site_type_symbol
_atom_site_fract_x
_atom_site_fract_y
_atom_site_fract_z
_atom_site_occupancy
K1 K 0.000 0.000 0.000 1
Mo1 Mo 0.000 0.500 0.000 1
Mo2 Mo 0.500 0.000 0.000 1
As1 As 0.500 0.500 0.000 1

***

No. 4
# PBE CeGePt6, optimized geometry
# E   -0.4627 Ry per atom
# Magnetic moment   0.201 μB per formula unit
# Space-group type   R-3m (166)
# ΔE_f   -445.3 meV per atom
# Energy above the most stable polymorph in this dataset   136 meV/atom
data_CeGePt6
_chemical_formula_sum 'Ce1 Ge1 Pt6'
_cell_length_a 7.358
_cell_length_b 7.358
_cell_length_c 7.358
_cell_angle_alpha 43.11
_cell_angle_beta 43.11
_cell_angle_gamma 43.11
_space_group_name_H-M_alt 'P 1'
_space_group_IT_number 1
_space_group_name_Hall 'P 1'
loop_
_atom_site_label
_atom_site_type_symbol
_atom_site_fract_x
_atom_site_fract_y
_atom_site_fract_z
_atom_site_occupancy
Ce1 Ce 0.000 0.000 0.000 1
Ge1 Ge 0.500 0.500 0.500 1
Pt1 Pt 0.065 0.575 0.575 1
Pt2 Pt 0.425 0.425 0.935 1
Pt3 Pt 0.425 0.935 0.425 1
Pt4 Pt 0.575 0.065 0.575 1
Pt5 Pt 0.575 0.575 0.065 1
Pt6 Pt 0.935 0.425 0.425 1

***

No. 5
# PBE CsBiAs2Pd4, optimized geometry
# E   -0.3456 Ry per atom
# Magnetic moment   0.000 μB per formula unit
# Space-group type   P4/mmm (123)
# ΔE_f   -351.8 meV per atom
data_CsBiAs2Pd4
_chemical_formula_sum 'Cs1 Bi1 As2 Pd4'
_cell_length_a 4.210
_cell_length_b 4.210
_cell_length_c 11.124
_cell_angle_alpha 90.00
_cell_angle_beta 90.00
_cell_angle_gamma 90.00
_space_group_name_H-M_alt 'P 1'
_space_group_IT_number 1
_space_group_name_Hall 'P 1'
loop_
_atom_site_label
_atom_site_type_symbol
_atom_site_fract_x
_atom_site_fract_y
_atom_site_fract_z
_atom_site_occupancy
Cs1 Cs 0.000 0.000 0.000 1
Bi1 Bi 0.000 0.000 0.500 1
As1 As 0.500 0.500 0.209 1
As2 As 0.500 0.500 0.791 1
Pd1 Pd 0.000 0.500 0.325 1
Pd2 Pd 0.000 0.500 0.675 1
Pd3 Pd 0.500 0.000 0.325 1
Pd4 Pd 0.500 0.000 0.675 1

***

No. 6
# PBE PmPuMgZn, optimized geometry
# E   -0.4028 Ry per atom
# Magnetic moment   6.323 μB per formula unit
# Space-group type   F-43m (216)
# ΔE_f   7.7 meV per atom
data_PmPuMgZn
_chemical_formula_sum 'Pm1 Pu1 Mg1 Zn1'
_cell_length_a 5.262
_cell_length_b 5.262
_cell_length_c 5.262
_cell_angle_alpha 60.00
_cell_angle_beta 60.00
_cell_angle_gamma 60.00
_space_group_name_H-M_alt 'P 1'
_space_group_IT_number 1
_space_group_name_Hall 'P 1'
loop_
_atom_site_label
_atom_site_type_symbol
_atom_site_fract_x
_atom_site_fract_y
_atom_site_fract_z
_atom_site_occupancy
Pm1 Pm 0.000 0.000 0.000 1
Pu1 Pu 0.500 0.500 0.500 1
Mg1 Mg 0.750 0.750 0.750 1
Zn1 Zn 0.250 0.250 0.250 1

***

magnetic moment of number 1 (La2HoPd)? 0.000 μB per formula unit